First-principles (PBE-GGA) data for an optimized crystal structure of AcPrNi2P2, as listed in Alexandria.

Output
Space-group type   P-3m1, No. 164
Formation energy   -1096 meV/atom
Fermi-level density of states   2.8 states/eV/cell

Structure (POSCAR):
```
AcPrNi2P2
1.0
4.037 0.000 0.000
-2.018 3.496 0.000
0.000 0.000 8.397
Ac Pr Ni P
1 1 2 2
direct
0.000 0.000 0.000
0.000 0.000 0.500
0.333 0.667 0.744
0.667 0.333 0.256
0.333 0.667 0.264
0.667 0.333 0.736
```